Entry 1:
# Na2AsO3

A relaxed Na2AsO3 crystal (GGA-PBE, Alexandria).

a b c (Å): 5.6220 5.6225 5.9716
angles (deg): 90.00 90.00 120.00
Last column: nearest neighbours and their distance in Å.
Fractional positions:
1 O 0.6887 0.0000 0.7500  1 As 1.75
2 O 0.3110 0.3112 0.7500  1 As 1.75
3 As 0.9999 0.0000 0.7500  3 O 1.75
4 O 0.9999 0.6888 0.7500  1 As 1.75
5 As 0.0001 0.0000 0.2500  3 O 1.75
6 Na 0.6667 0.3333 0.0000  6 O 2.45
7 Na 0.3333 0.6667 0.0000  6 O 2.45
8 Na 0.6667 0.3333 0.5000  6 O 2.45
9 O 0.6890 0.6888 0.2500  1 As 1.75
10 O 0.0001 0.3112 0.2500  1 As 1.75
11 O 0.3113 0.0000 0.2500  1 As 1.75
12 Na 0.3333 0.6667 0.5000  6 O 2.45

Results
uncorrected energy = -5.082 eV/atom
ΔE_f (raw) = -1389 meV per atom
calculated volume = 13.6 A^3/atom
M_tot = 0.155 μB/atom
symmetry = No. 193

---

Entry 2:
# NaAs2OsO8

A relaxed NaAs2OsO8 crystal (GGA-PBE, Alexandria).

a b c (Å): 5.7426 5.7426 5.7426
angles (deg): 106.22 106.22 116.20
Last column: nearest neighbours and their distance in Å.
Fractional positions:
1 O 0.3693 0.0449 0.3244  1 As 1.74
2 O 0.7206 0.0449 0.6756  1 As 1.74
3 O 0.3243 0.1210 0.7967  1 As 1.76
4 As 0.5000 0.5000 0.0000  4 O 1.76
5 Os 0.2500 0.7500 0.5000  8 O 2.09-2.16
6 O 0.3243 0.5275 0.2033  1 As 1.76
7 O 0.8790 0.6757 0.2033  1 As 1.76
8 As 0.7500 0.2500 0.5000  4 O 1.74
9 Na 0.0000 0.0000 0.0000  8 O 2.25-2.42
10 O 0.9551 0.6307 0.6756  1 As 1.74
11 O 0.4725 0.6757 0.7967  1 As 1.76
12 O 0.9551 0.2794 0.3244  1 As 1.74

Results
uncorrected energy = -5.962 eV/atom
ΔE_f (raw) = -836 meV per atom
calculated volume = 12.0 A^3/atom
M_tot = 0.000 μB/atom
symmetry = No. 119

---

Entry 3:
# NaAsOsO6

A relaxed NaAsOsO6 crystal (GGA-PBE, Alexandria).

a b c (Å): 5.2422 5.1128 5.1128
angles (deg): 120.00 90.00 90.00
Last column: nearest neighbours and their distance in Å.
Fractional positions:
1 O 0.2966 0.3288 0.2786  1 As 1.90, 1 Os 1.93
2 O 0.2966 0.9498 0.6712  1 As 1.90, 1 Os 1.93
3 As 0.5000 0.0000 0.0000  6 O 1.90
4 O 0.7034 0.9498 0.2786  1 As 1.90, 1 Os 1.93
5 Os 0.5000 0.6667 0.3333  6 O 1.93
6 O 0.7034 0.3288 0.0502  1 As 1.90, 1 Os 1.93
7 O 0.2966 0.7214 0.0502  1 As 1.90, 1 Os 1.93
8 O 0.7034 0.7214 0.6712  1 As 1.90, 1 Os 1.93
9 Na 0.0000 0.3333 0.6667  6 O 2.51

Results
uncorrected energy = -6.419 eV/atom
ΔE_f (raw) = -1202 meV per atom
calculated volume = 13.2 A^3/atom
M_tot = 0.000 μB/atom
symmetry = No. 149

---

Entry 4:
# NaAsOsO5

A relaxed NaAsOsO5 crystal (GGA-PBE, Alexandria).

a b c (Å): 5.6397 5.6397 7.2688
angles (deg): 104.69 104.69 104.74
Last column: nearest neighbours and their distance in Å.
Fractional positions:
1 O 0.3788 0.2546 0.0819  1 As 1.73
2 O 0.2546 0.3788 0.5819  1 As 1.73
3 O 0.3269 0.9048 0.6184  1 As 1.75
4 As 0.6843 0.3157 0.2500  4 O 1.73-1.75
5 O 0.7454 0.6212 0.4181  1 As 1.73
6 Os 0.0000 0.0000 0.0000  4 O 1.86-2.08
7 O 0.9048 0.3269 0.1184  1 As 1.75
8 O 0.0952 0.6731 0.8816  1 As 1.75
9 Na 0.6722 0.3278 0.7500  7 O 2.44-2.67
10 O 0.6731 0.0952 0.3816  1 As 1.75
11 Na 0.3278 0.6722 0.2500  7 O 2.44-2.67
12 O 0.9539 0.0461 0.7500  2 Os 1.86
13 O 0.6212 0.7454 0.9181  1 As 1.73
14 O 0.0461 0.9539 0.2500  2 Os 1.86
15 As 0.3157 0.6843 0.7500  4 O 1.73-1.75
16 Os 0.0000 0.0000 0.5000  4 O 1.86-2.08

Results
uncorrected energy = -6.486 eV/atom
ΔE_f (raw) = -1238 meV per atom
calculated volume = 12.7 A^3/atom
M_tot = 0.000 μB/atom
symmetry = No. 15

---

Entry 5:
# NaAsPO2

A relaxed NaAsPO2 crystal (GGA-PBE, Alexandria).

a b c (Å): 3.9038 3.9038 4.8819
angles (deg): 90.00 90.00 90.00
Last column: nearest neighbours and their distance in Å.
Fractional positions:
1 O 0.0000 0.5000 0.0000  2 As 1.95
2 As 0.0000 0.0000 0.0000  4 O 1.95
3 P 0.0000 0.0000 0.5000  2 As 2.44
4 O 0.5000 0.0000 0.0000  2 As 1.95
5 Na 0.5000 0.5000 0.5000  4 P 2.76

Results
uncorrected energy = -4.494 eV/atom
ΔE_f (raw) = -235 meV per atom
calculated volume = 14.9 A^3/atom
M_tot = 0.304 μB/atom
symmetry = No. 123

---

Entry 6:
# NaAs2PO8

A relaxed NaAs2PO8 crystal (GGA-PBE, Alexandria).

a b c (Å): 5.1220 5.1220 8.8379
angles (deg): 73.16 73.16 60.00
Last column: nearest neighbours and their distance in Å.
Fractional positions:
1 Na 0.0000 0.0000 0.0000  6 O 3.09
2 O 0.2972 0.2972 0.1085  1 As 1.66
3 O 0.8431 0.3911 0.3748  1 P 1.70, 1 As 1.71
4 O 0.1569 0.6089 0.6252  1 P 1.70, 1 As 1.71
5 O 0.6089 0.1569 0.6252  1 P 1.70, 1 As 1.71
6 O 0.3911 0.8431 0.3748  1 P 1.70, 1 As 1.71
7 O 0.3911 0.3911 0.3748  1 P 1.70, 1 As 1.71
8 P 0.5000 0.5000 0.5000  6 O 1.70
9 As 0.2307 0.2307 0.3078  4 O 1.66-1.71
10 O 0.7028 0.7028 0.8915  1 As 1.66
11 O 0.6089 0.6089 0.6252  1 P 1.70, 1 As 1.71
12 As 0.7693 0.7693 0.6922  4 O 1.66-1.71

Results
uncorrected energy = -5.851 eV/atom
ΔE_f (raw) = -1210 meV per atom
calculated volume = 15.8 A^3/atom
M_tot = 0.000 μB/atom
symmetry = No. 166

---

Entry 7:
# NaAsPO2

A relaxed NaAsPO2 crystal (GGA-PBE, Alexandria).

a b c (Å): 4.0086 4.0086 5.3832
angles (deg): 90.00 90.00 90.00
Last column: nearest neighbours and their distance in Å.
Fractional positions:
1 O 0.0000 0.5000 0.0000  2 Na 2.00
2 As 0.5000 0.5000 0.5000  4 P 2.83
3 O 0.5000 0.0000 0.0000  2 Na 2.00
4 P 0.0000 0.0000 0.5000  2 Na 2.69, 4 As 2.83
5 Na 0.0000 0.0000 0.0000  4 O 2.00

Results
uncorrected energy = -3.418 eV/atom
ΔE_f (raw) = 841 meV per atom
calculated volume = 17.3 A^3/atom
M_tot = 0.555 μB/atom
symmetry = No. 123

---

Entry 8:
# NaAsP2O

A relaxed NaAsP2O crystal (GGA-PBE, Alexandria).

a b c (Å): 5.0225 5.0225 3.6803
angles (deg): 90.00 90.00 90.00
Last column: nearest neighbours and their distance in Å.
Fractional positions:
1 Na 0.5000 0.5000 0.5000  8 P 3.11
2 As 0.0000 0.0000 0.0000  2 O 1.84
3 P 0.0000 0.5000 0.0000  2 As 2.51
4 O 0.0000 0.0000 0.5000  2 As 1.84
5 P 0.5000 0.0000 0.0000  2 As 2.51

Results
uncorrected energy = -4.108 eV/atom
ΔE_f (raw) = 242 meV per atom
calculated volume = 18.6 A^3/atom
M_tot = 0.000 μB/atom
symmetry = No. 123

---

Entry 9:
# NaAsP2O

A relaxed NaAsP2O crystal (GGA-PBE, Alexandria).

a b c (Å): 4.9201 4.9201 3.8938
angles (deg): 90.00 90.00 90.00
Last column: nearest neighbours and their distance in Å.
Fractional positions:
1 P 0.0000 0.5000 0.0000  2 Na 2.46
2 As 0.5000 0.5000 0.5000  8 P 3.14, 4 O 3.48
3 P 0.5000 0.0000 0.0000  2 Na 2.46
4 O 0.0000 0.0000 0.5000  2 Na 1.95
5 Na 0.0000 0.0000 0.0000  2 O 1.95

Results
uncorrected energy = -3.171 eV/atom
ΔE_f (raw) = 1179 meV per atom
calculated volume = 18.9 A^3/atom
M_tot = 0.253 μB/atom
symmetry = No. 123

---

Entry 10:
# NaAsPO6

A relaxed NaAsPO6 crystal (GGA-PBE, Alexandria).

a b c (Å): 4.7380 4.7380 5.2769
angles (deg): 90.00 90.00 60.00
Last column: nearest neighbours and their distance in Å.
Fractional positions:
1 O 0.0231 0.3623 0.3121  1 P 1.72, 1 As 1.87
2 O 0.0230 0.6147 0.6879  1 P 1.72, 1 As 1.87
3 O 0.6146 0.3623 0.6879  1 P 1.72, 1 As 1.87
4 Na 0.0000 0.0000 0.0000  6 O 2.42
5 O 0.3622 0.0231 0.6879  1 P 1.72, 1 As 1.87
6 O 0.6146 0.0231 0.3121  1 P 1.72, 1 As 1.87
7 As 0.6666 0.6667 0.5000  6 O 1.87
8 P 0.3333 0.3333 0.5000  6 O 1.72
9 O 0.3622 0.6147 0.3121  1 P 1.72, 1 As 1.87

Results
uncorrected energy = -6.017 eV/atom
ΔE_f (raw) = -1447 meV per atom
calculated volume = 11.4 A^3/atom
M_tot = 0.116 μB/atom
symmetry = No. 149